A relaxed structure of NdSmHo2As4, computed with PBE-GGA.

Results
**Volume**: 25.7 Å³ per atom
**Energy of formation**: -1.5192 eV per atom
**Energy**: -6.174 eV per atom

```
data_NdSmHo2As4
_symmetry_space_group_name_H-M 'P 1 2/m 1'
_symmetry_Int_Tables_number 10
_symmetry_space_group_name_Hall '-P 2y'
_cell_length_a 7.2227
_cell_length_b 4.1754
_cell_length_c 7.2276
_cell_angle_alpha 90.00
_cell_angle_beta 109.48
_cell_angle_gamma 90.00
loop_
_atom_site_label
_atom_site_fract_x
_atom_site_fract_y
_atom_site_fract_z
Nd1 0.0000 0.0000 0.0000
Sm1 0.0000 0.5000 0.5000
Ho1 0.5000 0.0000 0.5000
Ho2 0.5000 0.5000 0.0000
As1 0.2582 0.0000 0.7512
As2 0.2595 0.5000 0.2547
```